A plane-wave DFT calculation with PBE was carried out for a relaxed structure of La4TlIn.

The electronic total energy is -25.49 eV for the cell shown. For the energy of formation, the calculation gives -0.113 eV per atom. The total magnetization comes out at 0.0000 μB per atom. As for the energy relative to the lowest polymorph listed for this composition: 186 meV/atom. The density of states at the Fermi level is 9.4 states/eV/cell.

a b c (Å): 5.9465 5.9465 6.8362
angles (deg): 104.71 104.71 110.05
Last column: nearest neighbours and their distance in Å.
Atoms (fractional coordinates):
La 0.0461 0.4481 0.2461  2 In 3.41-3.49, 2 Tl 3.44-3.50, 6 La 3.51-3.65
La 0.4481 0.0461 0.2461  2 In 3.41-3.49, 2 Tl 3.44-3.50, 6 La 3.51-3.65
La 0.5519 0.9539 0.7539  2 In 3.41-3.49, 2 Tl 3.44-3.50, 6 La 3.51-3.65
La 0.9539 0.5519 0.7539  2 In 3.41-3.49, 2 Tl 3.44-3.50, 6 La 3.51-3.65
Tl 0.0000 0.0000 0.5000  8 La 3.44-3.50, 2 In 3.60
In 0.5000 0.5000 0.0000  8 La 3.41-3.49, 2 Tl 3.60